Record 1
A plane-wave DFT calculation with SCAN was carried out for a crystal of FePbCl2 relaxed with PBEsol.

a b c (Å): 3.101 3.101 8.574
angles (deg): 90.00 90.00 90.00
Site moments in Bohr magnetons follow the coordinates.
Fractional positions:
1 Pb 0.500 0.500 0.500  0.00
2 Fe 0.500 0.500 0.000  3.32
3 Cl 0.000 0.000 0.827  0.09
4 Cl 0.000 0.000 0.173  0.09

Calculated values
The uncorrected formation energy comes out at -1.61 eV/f.u. The value obtained for the polymorph energy (0 for the lowest one) is 1.355 kcal/mol of atoms. As for the crystal system: tetragonal.

=====

Record 2
A plane-wave DFT calculation with SCAN was carried out for a crystal of FePbCl2 relaxed with PBEsol.

a b c (Å): 3.318 5.363 5.658
angles (deg): 118.29 107.05 90.00
Site moments in Bohr magnetons follow the coordinates.
Fractional positions:
1 Pb 0.000 0.500 0.000  -0.08
2 Fe 0.500 0.000 0.000  3.01
3 Cl 0.820 0.820 0.641  0.03
4 Cl 0.180 0.180 0.359  0.03

Calculated values
The uncorrected formation energy comes out at -1.85 eV/f.u. The value obtained for the polymorph energy (0 for the lowest one) is 0.000 kcal/mol of atoms. As for the crystal system: orthorhombic.